VASP calculation (PBE) on an optimized crystal structure of Pu3Zn4Pd4.

a = 4.200 Å, b = 7.305 Å, c = 8.158 Å
α = 116.60°, β = 104.92°, γ = 90.00°
Positions (direct):
Zn: 0.324 0.517 0.649
Zn: 0.676 0.483 0.351
Zn: 0.676 0.869 0.351
Zn: 0.324 0.131 0.649
Pd: 0.500 0.804 0.000
Pd: 0.782 0.282 0.565
Pd: 0.500 0.196 0.000
Pd: 0.218 0.718 0.435
Pu: 0.877 0.877 0.754
Pu: 0.123 0.123 0.246
Pu: 0.000 0.500 0.000

Output
Formation energy from the elements = -0.44 eV per atom
Raw total energy = -73.66 eV/cell
ρ = 11.0 g cm⁻³
Space-group type = Immm